CsSnI3: relaxed, PBEsol.

The structure belongs to space group P4/mbm (No. 127); the cell edges are 8.530, 8.530 and 6.201 Å and the angles 90.00°, 90.00° and 90.00°. The distinct sites, in fractional coordinates, are Cs at (0.000, 0.500, 0.000), Sn at (0.000, 0.000, 0.500), I at (0.000, 0.000, 0.000) and I at (0.196, 0.304, 0.500).

As for the uncorrected formation energy: -0.93 eV per atom. Its magnetization is 0.0000 μB per atom. The raw total energy comes out at -3.03 eV per atom.


CsSrI3: relaxed, PBEsol.

The structure belongs to space group Cm (No. 8); the cell edges are 9.013, 8.970 and 6.382 Å and the angles 90.00°, 90.79° and 90.00°. The distinct sites, in fractional coordinates, are Cs at (0.000, 0.000, 0.000), Sr at (0.023, 0.500, 0.411), I at (0.041, 0.500, 0.908) and I at (0.269, 0.246, 0.384).

As for the uncorrected formation energy: -1.60 eV per atom. Its magnetization is 0.0002 μB per atom. The raw total energy comes out at -3.22 eV per atom. Its density of states at the Fermi level is 0.00 states/eV/atom.


CsSrTeI2: relaxed, PBEsol.

The structure belongs to space group P4/mmm (No. 123); the cell edges are 6.591, 6.591 and 6.125 Å and the angles 90.00°, 90.00° and 90.00°. The distinct sites, in fractional coordinates, are Cs at (0.000, 0.000, 0.000), Sr at (0.500, 0.500, 0.500), Te at (0.000, 0.000, 0.500) and I at (0.000, 0.500, 0.000).

As for the uncorrected formation energy: -0.42 eV per atom. Its magnetization is 0.0000 μB per atom. The raw total energy comes out at -2.39 eV per atom. Its density of states at the Fermi level is 0.62 states/eV/atom.


Cs2TcI6: relaxed, PBEsol.

The structure belongs to space group Fm-3m (No. 225); the cell edges are 11.297, 11.297 and 11.297 Å and the angles 90.00°, 90.00° and 90.00°. The distinct sites, in fractional coordinates, are Cs at (0.250, 0.250, 0.250), Tc at (0.000, 0.000, 0.000) and I at (0.000, 0.000, 0.240).

As for the uncorrected formation energy: -0.76 eV per atom. Its magnetization is 0.3444 μB per atom. The raw total energy comes out at -3.40 eV per atom.


CsTiI3: relaxed, PBEsol.

The structure belongs to space group P6_3/mmc (No. 194); the cell edges are 8.1707, 8.1707 and 6.3217 Å and the angles 90.00°, 90.00° and 120.00°. The distinct sites, in fractional coordinates, are Cs at (0.3333, 0.6667, 0.2500), Ti at (0.0000, 0.0000, 0.0000) and I at (0.1663, 0.3326, 0.7500).

As for the uncorrected formation energy: -1.03 eV per atom. Its magnetization is 0.2858 μB per atom. The raw total energy comes out at -3.94 eV per atom. Its density of states at the Fermi level is 0.94 states/eV/atom.


CsW3I: relaxed, PBEsol.

The structure belongs to space group Pm-3m (No. 221); the cell edges are 4.958, 4.958 and 4.958 Å and the angles 90.00°, 90.00° and 90.00°. The distinct sites, in fractional coordinates, are Cs at (0.000, 0.000, 0.000), W at (0.000, 0.000, 0.500) and I at (0.500, 0.500, 0.500).

As for the uncorrected formation energy: 4.13 eV per atom. Its magnetization is 0.0002 μB per atom. The raw total energy comes out at -4.70 eV per atom. Its density of states at the Fermi level is 1.63 states/eV/atom.


CsIn3Ir: relaxed, PBEsol.

The structure belongs to space group Pm-3m (No. 221); the cell edges are 5.207, 5.207 and 5.207 Å and the angles 90.00°, 90.00° and 90.00°. The distinct sites, in fractional coordinates, are Cs at (0.000, 0.000, 0.000), In at (0.000, 0.500, 0.500) and Ir at (0.500, 0.500, 0.500).

Its magnetization is 0.0002 μB per atom. Its formation energy from the elements is -0.739 eV per formula unit. The raw total energy comes out at -4.09 eV per atom. Its density of states at the Fermi level is 0.68 states/eV/atom.


CsInIr3: relaxed, PBEsol.

The structure belongs to space group Pm-3m (No. 221); the cell edges are 4.948, 4.948 and 4.948 Å and the angles 90.00°, 90.00° and 90.00°. The distinct sites, in fractional coordinates, are Cs at (0.000, 0.000, 0.000), In at (0.500, 0.500, 0.500) and Ir at (0.000, 0.000, 0.500).

Its magnetization is 0.0982 μB per atom. Its formation energy from the elements is 14.761 eV per formula unit. The raw total energy comes out at -3.73 eV per atom. Its density of states at the Fermi level is 1.79 states/eV/atom.